Below is a relaxed structure of Na3PaCo2O6, with properties calculated at the GGA+U level.

Output
Space group ... C2/m, No. 12
Energy ... -77.71 eV per cell

a = 5.5512 Å, b = 5.5512 Å, c = 5.8292 Å
α = 98.81°, β = 98.81°, γ = 120.16°
Last column: nearest neighbours and their distance in Å.
Atoms (fractional coordinates):
O  0.4051  0.0699  0.2109  2 Co 2.17-2.19, 1 Pa 2.20, 1 Na 2.38
O  0.7349  0.7349  0.2134  2 Co 2.19, 1 Pa 2.20, 1 Na 2.41
O  0.2651  0.2651  0.7866  2 Co 2.19, 1 Pa 2.20, 1 Na 2.41
O  0.9301  0.5949  0.7891  2 Co 2.17-2.19, 1 Pa 2.20, 1 Na 2.38
O  0.0699  0.4051  0.2109  2 Co 2.17-2.19, 1 Pa 2.20, 1 Na 2.38
O  0.5949  0.9301  0.7891  2 Co 2.17-2.19, 1 Pa 2.20, 1 Na 2.38
Na  0.8218  0.1782  0.5000  6 O 2.38-2.53
Na  0.1782  0.8218  0.5000  6 O 2.38-2.53
Na  0.5000  0.5000  0.5000  6 O 2.41-2.46
Co  0.6663  0.3337  0.0000  6 O 2.17-2.19
Co  0.3337  0.6663  0.0000  6 O 2.17-2.19
Pa  0.0000  0.0000  0.0000  6 O 2.20